# 1
PBE-GGA CsCe2Cl6, relaxed; total moment = 3.00 μB per formula unit; total energy = -4.763 eV/atom
1.0
-4.945 -4.300 -3.973
5.300 -5.038 -1.145
-4.356 -0.501 5.964
Ce Cs Cl
2 1 6
Direct
0.500 0.667 0.333
0.500 0.333 0.667
0.000 0.000 0.000
0.289 0.627 0.000
0.289 0.373 0.373
0.711 0.627 0.627
0.711 0.000 0.373
0.711 0.373 0.000
0.289 0.000 0.627

# 2
PBE-GGA Tc2HgSb, relaxed; total moment = 0.00 μB per formula unit; energy above the lowest structure with this stoichiometry = 284 meV per atom
1.0
3.246 0.000 0.000
0.000 3.246 0.000
0.000 0.000 6.691
Tc Sb Hg
2 1 1
Direct
0.000 0.000 0.527
0.000 0.000 0.973
0.500 0.500 0.750
0.500 0.500 0.250

# 3
PBE-GGA NbCuP, relaxed; total moment = 0.00 μB per formula unit; ΔH_f (0 K) = -0.4350 eV per atom
1.0
3.416 0.000 0.000
0.000 3.383 0.000
0.000 0.000 15.391
P Nb Cu
4 4 4
Direct
0.000 0.500 0.874
0.500 0.500 0.058
0.500 0.000 0.558
0.000 0.000 0.374
0.500 0.000 0.934
0.000 0.000 0.115
0.500 0.500 0.434
0.000 0.500 0.615
0.000 0.500 0.264
0.500 0.000 0.261
0.500 0.500 0.761
0.000 0.000 0.764

# 4
PBE-GGA Pu2Ni12B7, relaxed; total moment = 9.93 μB per formula unit; ΔH_f (0 K) = -0.2715 eV per atom
1.0
3.321 0.000 0.000
0.000 7.539 -4.353
0.000 0.000 8.705
B Ni Pu
7 12 2
Direct
0.752 0.606 0.891
0.248 0.715 0.606
0.500 0.000 0.000
0.248 0.891 0.285
0.752 0.109 0.715
0.248 0.394 0.109
0.752 0.285 0.394
0.256 0.143 0.890
0.752 0.568 0.618
0.744 0.890 0.748
0.752 0.382 0.950
0.256 0.110 0.252
0.256 0.748 0.857
0.752 0.050 0.432
0.248 0.432 0.382
0.744 0.252 0.143
0.248 0.950 0.568
0.744 0.857 0.110
0.248 0.618 0.050
0.251 0.333 0.667
0.749 0.667 0.333

# 5
PBE-GGA Hg2H2F3, relaxed; total moment = 0.00 μB per formula unit; total energy = -2.476 eV/atom
1.0
3.978 0.141 1.998
1.838 9.164 6.555
1.519 5.729 7.474
H F Hg
2 3 2
Direct
0.991 0.229 0.038
0.009 0.771 0.962
0.622 0.424 0.188
0.378 0.576 0.812
0.500 0.000 0.000
0.984 0.717 0.563
0.016 0.283 0.437

# 6
PBE-GGA Mn2CoSnN, relaxed; total moment = 3.33 μB per formula unit; total energy = -7.666 eV/atom
1.0
-2.562 2.631 1.105
-2.367 -1.130 -2.798
-1.667 -2.667 2.486
Sn Mn N Co
1 2 1 1
Direct
0.500 0.500 0.500
0.500 0.000 0.000
0.000 0.500 0.000
0.000 0.000 0.000
0.000 0.000 0.500